Record 1
First-principles (PBE) data for an optimized crystal structure of CrMoCl, as listed in Alexandria via LeMat-Bulk.

Its distance to the lowest polymorph of the same formula is 828 meV per atom. The symmetry is F-43m, No. 216.

```
3
Lattice="4.0368 0.0000 0.0000 2.0184 3.4960 0.0000 2.0184 1.1653 3.2960" Properties=species:S:1:pos:R:3 pbc="T T T"
Cr 2.0184 1.1653 0.8240
Mo 0.0000 0.0000 0.0000
Cl 4.0368 2.3306 1.6480
```

=====

Record 2
First-principles (PBE) data for an optimized crystal structure of CrMoCl3, as listed in Alexandria via LeMat-Bulk.

Its distance to the lowest polymorph of the same formula is 0 meV per atom. The symmetry is Pm-3m, No. 221.

```
5
Lattice="4.8883 0.0000 0.0000 0.0000 4.8883 0.0000 0.0000 0.0000 4.8883" Properties=species:S:1:pos:R:3 pbc="T T T"
Cl 2.4442 0.0000 0.0000
Cl 0.0000 2.4442 0.0000
Cl 0.0000 0.0000 2.4442
Mo 2.4442 2.4442 2.4442
Cr 0.0000 0.0000 0.0000
```

=====

Record 3
First-principles (PBE) data for an optimized crystal structure of Cr2MoCl, as listed in Alexandria via LeMat-Bulk.

Its distance to the lowest polymorph of the same formula is 187 meV per atom. The symmetry is R3m, No. 160.

```
4
Lattice="8.1440 0.0075 0.0044 7.6371 2.8284 0.0044 7.6371 1.3724 2.4731" Properties=species:S:1:pos:R:3 pbc="T T T"
Cr 6.0752 1.0917 0.6439
Cr 23.2318 4.1747 2.4622
Mo 11.7031 2.1030 1.2403
Cl 17.5355 3.1511 1.8585
```

=====

Record 4
First-principles (PBE) data for an optimized crystal structure of Cr2MoCl, as listed in Alexandria via LeMat-Bulk.

Its distance to the lowest polymorph of the same formula is 473 meV per atom. The symmetry is C2/m, No. 12.

```
4
Lattice="-3.0084 0.9900 3.8109 -1.4745 -1.3538 4.5328 3.2493 2.5320 1.3164" Properties=species:S:1:pos:R:3 pbc="T T T"
Cl -0.3084 0.5421 2.4150
Cr -0.2916 1.2522 4.6846
Cr 2.9240 2.3640 1.4619
Mo -0.9252 1.6262 7.2451
```

=====

Results for theoretical density: 6.5; 3.6; 6.9; 6.6 (in g/cm3, following the order of the records).
Results for ΔE_f (raw): 98; 11; 38; 65 (in kJ/mol of atoms, following the order of the records).
Results for V: 15.5; 23.4; 14.2; 14.7 (in Å³ per atom, following the order of the records).